Record 1
Material: Ac2Mg4In3Pb
Method: DFT, PBE
State: relaxed

```
10
Lattice="4.846 0.000 0.000 0.000 4.846 0.000 0.000 0.000 12.059" Properties=species:S:1:pos:R:3 pbc="T T T"
Ac 0.000 2.423 3.000
Ac 2.423 0.000 9.058
Mg 0.000 0.000 0.000
Mg 0.000 2.423 7.683
Mg 2.423 0.000 4.375
Mg 2.423 2.423 0.000
In 0.000 2.423 10.420
In 2.423 0.000 1.639
In 2.423 2.423 6.029
Pb 0.000 0.000 6.029
```

DOS(E_F) ... 0.37 states/eV per atom

Record 2
Material: Ac3MgIn2Pd6
Method: DFT, PBE
State: relaxed

```
12
Lattice="5.984 0.000 0.000 -2.992 5.183 0.000 0.000 0.000 9.124" Properties=species:S:1:pos:R:3 pbc="T T T"
Ac 0.000 0.000 0.000
Ac 0.000 3.455 5.722
Ac 2.992 1.728 3.403
Mg 0.000 0.000 4.562
In 0.000 3.455 0.240
In 2.992 1.728 8.885
Pd 0.000 1.803 2.600
Pd -1.431 4.281 2.600
Pd 1.561 0.902 6.524
Pd 1.431 4.281 2.600
Pd 4.423 0.902 6.524
Pd 2.992 3.380 6.524
```

DOS(E_F) ... 0.40 states/eV per atom

Record 3
Material: AcMgInPd
Method: DFT, PBE
State: relaxed

```
4
Lattice="0.000 3.723 3.723 3.723 0.000 3.723 3.723 3.723 0.000" Properties=species:S:1:pos:R:3 pbc="T T T"
Ac 0.000 0.000 0.000
Mg 3.723 3.723 3.723
In 5.585 5.585 5.585
Pd 1.862 1.862 1.862
```

DOS(E_F) ... 0.61 states/eV per atom

Record 4
Material: Ac2MgIn3Pd4
Method: DFT, PBE
State: relaxed

```
10
Lattice="4.736 0.000 0.000 0.000 4.736 0.000 0.000 0.000 10.712" Properties=species:S:1:pos:R:3 pbc="T T T"
Ac 0.000 2.368 2.537
Ac 2.368 0.000 8.175
Mg 0.000 0.000 5.356
In 0.000 2.368 9.413
In 2.368 0.000 1.299
In 2.368 2.368 5.356
Pd 0.000 0.000 0.000
Pd 0.000 2.368 6.733
Pd 2.368 0.000 3.979
Pd 2.368 2.368 0.000
```

DOS(E_F) ... 0.71 states/eV per atom

Record 5
Material: AcMgInPd2
Method: DFT, PBE
State: relaxed

```
5
Lattice="-2.158 2.158 6.258 2.158 -2.158 6.258 2.158 2.158 -6.258" Properties=species:S:1:pos:R:3 pbc="T T T"
Ac 0.000 0.000 0.000
Mg 0.000 2.158 3.129
In 2.158 0.000 3.129
Pd 0.000 0.000 4.877
Pd 0.000 0.000 7.640
```

DOS(E_F) ... 0.71 states/eV per atom

Record 6
Material: AcMgIn2Pd4
Method: DFT, PBE
State: relaxed

```
8
Lattice="2.291 1.323 9.081 -2.291 1.323 9.081 0.000 -2.645 9.081" Properties=species:S:1:pos:R:3 pbc="T T T"
Ac 0.000 0.000 0.000
Mg 0.000 0.000 13.622
In 0.000 0.000 6.451
In 0.000 0.000 20.793
Pd 0.000 0.000 3.611
Pd 0.000 0.000 10.948
Pd 0.000 0.000 16.296
Pd 0.000 0.000 23.632
```

DOS(E_F) ... 0.48 states/eV per atom

| no. | ΔH_f (0 K) (eV per atom) | mass density (Mg/m³) |
| --- | --- | --- |
| 1 | -0.3154 | 6.47 |
| 2 | -0.6775 | 9.23 |
| 3 | -0.4125 | 7.60 |
| 4 | -0.6632 | 8.63 |
| 5 | -0.6939 | 8.25 |
| 6 | -0.6851 | 9.12 |